# 1
Compound: Nb4Zn3PbO12
Source: OQMD via LeMat-Bulk
Functional: PBE
Structure: optimized geometry

```
Nb4Zn3PbO12
1.0
-3.881 3.881 3.881
3.881 -3.881 3.881
3.881 3.881 -3.881
Nb Zn Pb O
4 3 1 12
direct
0.000 0.000 0.500 Nb
0.000 0.500 0.000 Nb
0.500 0.000 0.000 Nb
0.500 0.500 0.500 Nb
0.000 0.500 0.500 Zn
0.500 0.000 0.500 Zn
0.500 0.500 0.000 Zn
0.000 0.000 0.000 Pb
0.126 0.308 0.817 O
0.183 0.491 0.308 O
0.183 0.874 0.692 O
0.308 0.183 0.491 O
0.308 0.817 0.126 O
0.491 0.308 0.183 O
0.509 0.692 0.817 O
0.692 0.183 0.874 O
0.692 0.817 0.509 O
0.817 0.126 0.308 O
0.817 0.509 0.692 O
0.874 0.692 0.183 O
```

The value obtained for the total energy is -7.24 eV per atom. The density is 6.9 g cm⁻³. The value obtained for the spin magnetization is 1.7 μB per formula unit. The space-group type is No. 204.

=====

# 2
Compound: CsSmGaTe3
Source: OQMD via LeMat-Bulk
Functional: PBE
Structure: optimized geometry

```
CsSmGaTe3
1.0
2.445 -8.259 0.000
2.445 8.259 0.000
0.000 0.000 12.019
Cs Sm Ga Te
2 2 2 6
direct
0.247 0.753 0.750 Cs
0.753 0.247 0.250 Cs
0.500 0.500 0.000 Sm
0.500 0.500 0.500 Sm
0.027 0.973 0.250 Ga
0.973 0.027 0.750 Ga
0.120 0.880 0.058 Te
0.120 0.880 0.442 Te
0.446 0.554 0.250 Te
0.554 0.446 0.750 Te
0.880 0.120 0.558 Te
0.880 0.120 0.942 Te
```

The value obtained for the total energy is -3.99 eV per atom. The density is 5.0 g cm⁻³. The value obtained for the spin magnetization is 0.0 μB per formula unit. The space-group type is No. 63.

=====

# 3
Compound: Dy2Y2CI4Br
Source: OQMD via LeMat-Bulk
Functional: PBE
Structure: optimized geometry

```
Dy2Y2CI4Br
1.0
9.575 -1.964 0.000
9.575 1.964 0.000
-1.766 0.000 8.158
Dy Y C I Br
2 2 1 4 1
direct
0.001 0.001 0.303 Dy
0.999 0.999 0.697 Dy
0.371 0.371 0.436 Y
0.629 0.629 0.564 Y
0.500 0.500 0.500 C
0.163 0.163 0.848 I
0.167 0.167 0.315 I
0.833 0.833 0.685 I
0.837 0.837 0.152 I
0.500 0.500 0.000 Br
```

The value obtained for the total energy is -5.08 eV per atom. The density is 6.0 g cm⁻³. The value obtained for the spin magnetization is 0.0 μB per formula unit. The space-group type is No. 12.

=====

# 4
Compound: B4Os
Source: OQMD via LeMat-Bulk
Functional: PBE
Structure: optimized geometry

```
B4Os
1.0
1.729 -4.925 0.000
1.729 4.925 0.000
0.000 0.000 4.518
B Os
8 2
direct
0.065 0.435 0.750 B
0.150 0.850 0.884 B
0.350 0.650 0.384 B
0.435 0.065 0.250 B
0.565 0.935 0.750 B
0.650 0.350 0.616 B
0.850 0.150 0.116 B
0.935 0.565 0.250 B
0.000 0.000 0.500 Os
0.500 0.500 0.000 Os
```

The value obtained for the total energy is -7.26 eV per atom. Its distance to the lowest polymorph of the same formula is 0.389 eV per atom. The density is 10.1 g cm⁻³. The value obtained for the spin magnetization is 0.0 μB per formula unit. The space-group type is No. 64.

=====

# 5
Compound: CsSmAlTe3
Source: OQMD via LeMat-Bulk
Functional: PBE
Structure: optimized geometry

```
CsSmAlTe3
1.0
2.434 -8.261 0.000
2.434 8.261 0.000
0.000 0.000 11.962
Cs Sm Al Te
2 2 2 6
direct
0.245 0.755 0.750 Cs
0.755 0.245 0.250 Cs
0.500 0.500 0.000 Sm
0.500 0.500 0.500 Sm
0.022 0.978 0.250 Al
0.978 0.022 0.750 Al
0.119 0.881 0.066 Te
0.119 0.881 0.434 Te
0.443 0.557 0.250 Te
0.557 0.443 0.750 Te
0.881 0.119 0.566 Te
0.881 0.119 0.934 Te
```

The value obtained for the total energy is -4.09 eV per atom. Its distance to the lowest polymorph of the same formula is 0.000 eV per atom. The density is 4.8 g cm⁻³. The value obtained for the spin magnetization is 0.1 μB per formula unit. The space-group type is No. 63.

=====

# 6
Compound: YNbCu2
Source: OQMD via LeMat-Bulk
Functional: PBE
Structure: optimized geometry

```
YNbCu2
1.0
6.546 0.000 0.000
0.000 6.546 0.000
0.000 0.000 6.546
Y Nb Cu
4 4 8
direct
0.000 0.000 0.000 Y
0.000 0.500 0.500 Y
0.500 0.000 0.500 Y
0.500 0.500 0.000 Y
0.250 0.250 0.750 Nb
0.250 0.750 0.250 Nb
0.750 0.250 0.250 Nb
0.750 0.750 0.750 Nb
0.000 0.000 0.500 Cu
0.000 0.500 0.000 Cu
0.250 0.250 0.250 Cu
0.250 0.750 0.750 Cu
0.500 0.000 0.000 Cu
0.500 0.500 0.500 Cu
0.750 0.250 0.750 Cu
0.750 0.750 0.250 Cu
```

The value obtained for the total energy is -5.54 eV per atom. For the energy of formation, the calculation gives 0.4560 eV per atom. The density is 7.3 g cm⁻³. The value obtained for the spin magnetization is 2.0 μB per formula unit. The space-group type is No. 216.

=====

# 7
Compound: Zr2Sc4As3C3
Source: OQMD via LeMat-Bulk
Functional: PBE
Structure: optimized geometry

```
Zr2Sc4As3C3
1.0
5.139 -2.967 0.000
5.139 2.967 0.000
-3.432 0.000 12.902
Zr Sc As C
4 8 6 6
direct
0.032 0.863 0.597 Zr
0.137 0.968 0.903 Zr
0.863 0.032 0.097 Zr
0.968 0.137 0.403 Zr
0.199 0.368 0.097 Sc
0.303 0.466 0.403 Sc
0.368 0.199 0.597 Sc
0.466 0.303 0.903 Sc
0.534 0.697 0.097 Sc
0.632 0.801 0.403 Sc
0.697 0.534 0.597 Sc
0.801 0.632 0.903 Sc
0.083 0.256 0.750 As
0.256 0.083 0.250 As
0.423 0.577 0.750 As
0.577 0.423 0.250 As
0.744 0.917 0.750 As
0.917 0.744 0.250 As
0.000 0.500 0.500 C
0.161 0.678 0.000 C
0.322 0.839 0.500 C
0.500 0.000 0.000 C
0.678 0.161 0.500 C
0.839 0.322 0.000 C
```

The value obtained for the total energy is -7.89 eV per atom. The density is 5.3 g cm⁻³. The value obtained for the spin magnetization is 0.0 μB per formula unit. The space-group type is No. 15.

=====

# 8
Compound: PrLuSn2Pt4
Source: OQMD via LeMat-Bulk
Functional: PBE
Structure: optimized geometry

```
PrLuSn2Pt4
1.0
4.585 0.000 0.000
-2.292 3.970 0.000
0.000 0.000 9.226
Pr Lu Sn Pt
1 1 2 4
direct
0.000 0.000 0.000 Pr
0.333 0.667 0.500 Lu
0.667 0.333 0.257 Sn
0.667 0.333 0.743 Sn
0.000 0.000 0.347 Pt
0.000 0.000 0.653 Pt
0.333 0.667 0.172 Pt
0.333 0.667 0.828 Pt
```

The value obtained for the total energy is -6.16 eV per atom. The density is 13.2 g cm⁻³. The value obtained for the spin magnetization is 0.0 μB per formula unit. The space-group type is No. 187.

=====

# 9
Compound: YLuBe
Source: OQMD via LeMat-Bulk
Functional: PBE
Structure: optimized geometry

```
YLuBe
1.0
6.706 0.000 0.000
0.000 6.706 0.000
0.000 0.000 6.706
Y Lu Be
4 4 4
direct
0.000 0.000 0.000 Y
0.000 0.500 0.500 Y
0.500 0.000 0.500 Y
0.500 0.500 0.000 Y
0.000 0.000 0.500 Lu
0.000 0.500 0.000 Lu
0.500 0.000 0.000 Lu
0.500 0.500 0.500 Lu
0.250 0.250 0.750 Be
0.250 0.750 0.250 Be
0.750 0.250 0.250 Be
0.750 0.750 0.750 Be
```

The value obtained for the total energy is -4.64 eV per atom. Its distance to the lowest polymorph of the same formula is 0.000 eV per atom. The density is 6.0 g cm⁻³. The value obtained for the spin magnetization is 0.0 μB per formula unit. The space-group type is No. 216.

=====

# 10
Compound: NaZrNbFe
Source: OQMD via LeMat-Bulk
Functional: PBE
Structure: optimized geometry

```
NaZrNbFe
1.0
6.479 0.000 0.000
0.000 6.479 0.000
0.000 0.000 6.479
Na Zr Nb Fe
4 4 4 4
direct
0.000 0.000 0.000 Na
0.000 0.500 0.500 Na
0.500 0.000 0.500 Na
0.500 0.500 0.000 Na
0.250 0.250 0.750 Zr
0.250 0.750 0.250 Zr
0.750 0.250 0.250 Zr
0.750 0.750 0.750 Zr
0.250 0.250 0.250 Nb
0.250 0.750 0.750 Nb
0.750 0.250 0.750 Nb
0.750 0.750 0.250 Nb
0.000 0.000 0.500 Fe
0.000 0.500 0.000 Fe
0.500 0.000 0.000 Fe
0.500 0.500 0.500 Fe
```

The value obtained for the total energy is -6.48 eV per atom. Its distance to the lowest polymorph of the same formula is 0.000 eV per atom. The density is 6.4 g cm⁻³. The value obtained for the spin magnetization is 0.0 μB per formula unit. The space-group type is No. 216.

=====

# 11
Compound: CdInMo4C2
Source: OQMD via LeMat-Bulk
Functional: PBE
Structure: optimized geometry

```
CdInMo4C2
1.0
3.100 0.000 0.000
-1.550 2.685 0.000
0.000 0.000 14.183
Cd In Mo C
1 1 4 2
direct
0.000 0.000 0.000 Cd
0.667 0.333 0.500 In
0.000 0.000 0.333 Mo
0.000 0.000 0.667 Mo
0.667 0.333 0.171 Mo
0.667 0.333 0.829 Mo
0.333 0.667 0.251 C
0.333 0.667 0.749 C
```

The value obtained for the total energy is -8.14 eV per atom. The density is 8.9 g cm⁻³. The value obtained for the spin magnetization is 0.0 μB per formula unit. The space-group type is No. 187.

=====

# 12
Compound: LiNdO2
Source: OQMD via LeMat-Bulk
Functional: PBE
Structure: optimized geometry

```
LiNdO2
1.0
11.655 0.000 0.000
0.000 3.508 0.000
0.000 0.000 5.356
Li Nd O
4 4 8
direct
0.062 0.250 0.099 Li
0.438 0.750 0.599 Li
0.562 0.250 0.401 Li
0.938 0.750 0.901 Li
0.141 0.750 0.550 Nd
0.359 0.250 0.050 Nd
0.641 0.750 0.950 Nd
0.859 0.250 0.450 Nd
0.026 0.250 0.749 O
0.198 0.250 0.296 O
0.302 0.750 0.796 O
0.474 0.750 0.249 O
0.526 0.250 0.751 O
0.698 0.250 0.204 O
0.802 0.750 0.704 O
0.974 0.750 0.251 O
```

The value obtained for the total energy is -6.92 eV per atom. The density is 5.6 g cm⁻³. The value obtained for the spin magnetization is 0.0 μB per formula unit. The space-group type is No. 62.

=====

# 13
Compound: BeGaRe
Source: OQMD via LeMat-Bulk
Functional: PBE
Structure: optimized geometry

```
BeGaRe
1.0
5.437 0.000 0.000
0.000 5.437 0.000
0.000 0.000 5.437
Be Ga Re
4 4 4
direct
0.000 0.000 0.000 Be
0.000 0.500 0.500 Be
0.500 0.000 0.500 Be
0.500 0.500 0.000 Be
0.250 0.250 0.750 Ga
0.250 0.750 0.250 Ga
0.750 0.250 0.250 Ga
0.750 0.750 0.750 Ga
0.250 0.250 0.250 Re
0.250 0.750 0.750 Re
0.750 0.250 0.750 Re
0.750 0.750 0.250 Re
```

The value obtained for the total energy is -5.94 eV per atom. Its distance to the lowest polymorph of the same formula is 0.000 eV per atom. The density is 10.9 g cm⁻³. The value obtained for the spin magnetization is 0.5 μB per formula unit. The space-group type is No. 216.

=====

# 14
Compound: HfAl2Sn
Source: OQMD via LeMat-Bulk
Functional: PBE
Structure: optimized geometry

```
HfAl2Sn
1.0
6.888 0.000 0.000
0.000 6.888 0.000
0.000 0.000 6.888
Hf Al Sn
4 8 4
direct
0.000 0.000 0.000 Hf
0.000 0.500 0.500 Hf
0.500 0.000 0.500 Hf
0.500 0.500 0.000 Hf
0.000 0.000 0.500 Al
0.000 0.500 0.000 Al
0.250 0.250 0.250 Al
0.250 0.750 0.750 Al
0.500 0.000 0.000 Al
0.500 0.500 0.500 Al
0.750 0.250 0.750 Al
0.750 0.750 0.250 Al
0.250 0.250 0.750 Sn
0.250 0.750 0.250 Sn
0.750 0.250 0.250 Sn
0.750 0.750 0.750 Sn
```

The value obtained for the total energy is -5.14 eV per atom. The density is 7.1 g cm⁻³. The value obtained for the spin magnetization is 0.0 μB per formula unit. The space-group type is No. 216.

=====

# 15
Compound: CuI
Source: OQMD via LeMat-Bulk
Functional: PBE
Structure: optimized geometry

```
CuI
1.0
6.100 0.000 0.000
0.000 6.100 0.000
0.000 0.000 6.100
Cu I
4 4
direct
0.000 0.000 0.000 Cu
0.000 0.500 0.500 Cu
0.500 0.000 0.500 Cu
0.500 0.500 0.000 Cu
0.250 0.250 0.750 I
0.250 0.750 0.250 I
0.750 0.250 0.250 I
0.750 0.750 0.750 I
```

The value obtained for the total energy is -2.78 eV per atom. The density is 5.6 g cm⁻³. The space-group type is No. 216.

=====

# 16
Compound: Tm4Lu3Cu2Te2
Source: OQMD via LeMat-Bulk
Functional: PBE
Structure: optimized geometry

```
Tm4Lu3Cu2Te2
1.0
-1.959 7.575 4.738
1.959 -7.575 4.738
1.959 7.575 -4.738
Tm Lu Cu Te
4 3 2 2
direct
0.132 0.000 0.132 Tm
0.205 0.849 0.356 Tm
0.493 0.849 0.644 Tm
0.868 0.000 0.868 Tm
0.520 0.205 0.315 Lu
0.584 0.584 0.000 Lu
0.890 0.205 0.685 Lu
0.278 0.513 0.765 Cu
0.748 0.513 0.235 Cu
0.245 0.245 0.000 Te
0.849 0.349 0.500 Te
```

The value obtained for the total energy is -4.67 eV per atom. The density is 9.3 g cm⁻³. The value obtained for the spin magnetization is 0.0 μB per formula unit. The space-group type is No. 44.

=====

# 17
Compound: YTl2HgF6
Source: OQMD via LeMat-Bulk
Functional: PBE
Structure: optimized geometry

```
YTl2HgF6
1.0
0.000 4.495 4.495
4.495 0.000 4.495
4.495 4.495 0.000
Y Tl Hg F
1 2 1 6
direct
0.000 0.000 0.000 Y
0.250 0.250 0.250 Tl
0.750 0.750 0.750 Tl
0.500 0.500 0.500 Hg
0.237 0.237 0.763 F
0.237 0.763 0.237 F
0.237 0.763 0.763 F
0.763 0.237 0.237 F
0.763 0.237 0.763 F
0.763 0.763 0.237 F
```

The value obtained for the total energy is -4.64 eV per atom. The density is 7.4 g cm⁻³. The value obtained for the spin magnetization is 0.0 μB per formula unit. The space-group type is No. 225.

=====

# 18
Compound: Nd2Sm2CIF4
Source: OQMD via LeMat-Bulk
Functional: PBE
Structure: optimized geometry

```
Nd2Sm2CIF4
1.0
6.951 -1.910 0.000
6.951 1.910 0.000
-4.823 0.000 7.060
Nd Sm C I F
2 2 1 1 4
direct
0.209 0.209 0.243 Nd
0.791 0.791 0.757 Nd
0.474 0.474 0.165 Sm
0.526 0.526 0.835 Sm
0.000 0.000 0.000 C
0.000 0.000 0.500 I
0.268 0.268 0.908 F
0.317 0.317 0.604 F
0.683 0.683 0.396 F
0.732 0.732 0.092 F
```

The value obtained for the total energy is -6.06 eV per atom. The density is 7.1 g cm⁻³. The value obtained for the spin magnetization is 0.0 μB per formula unit. The space-group type is No. 12.

=====

# 19
Compound: GdErNi2I2
Source: OQMD via LeMat-Bulk
Functional: PBE
Structure: optimized geometry

```
GdErNi2I2
1.0
4.048 0.000 0.000
-2.024 3.505 0.000
0.000 0.000 12.040
Gd Er Ni I
1 1 2 2
direct
0.000 0.000 0.000 Gd
0.000 0.000 0.705 Er
0.333 0.667 0.844 Ni
0.667 0.333 0.855 Ni
0.333 0.667 0.180 I
0.667 0.333 0.529 I
```

The value obtained for the total energy is -4.79 eV per atom. The density is 6.8 g cm⁻³. The value obtained for the spin magnetization is 0.2 μB per formula unit. The space-group type is No. 156.

=====

# 20
Compound: TmZrAsO
Source: OQMD via LeMat-Bulk
Functional: PBE
Structure: optimized geometry

```
TmZrAsO
1.0
3.897 0.000 0.000
0.000 7.536 0.000
0.000 0.000 5.678
Tm Zr As O
2 2 2 2
direct
0.000 0.226 0.000 Tm
0.000 0.774 0.500 Tm
0.500 0.389 0.538 Zr
0.500 0.611 0.038 Zr
0.000 0.148 0.495 As
0.000 0.852 0.995 As
0.500 0.338 0.918 O
0.500 0.662 0.418 O
```

The value obtained for the total energy is -7.41 eV per atom. Its distance to the lowest polymorph of the same formula is 0.194 eV per atom. The density is 7.0 g cm⁻³. The value obtained for the spin magnetization is 0.0 μB per formula unit. The space-group type is No. 26.